# 1
# CuPdPbW

Crystalline CuPdPbW at its relaxed geometry (PBE, the Open Quantum Materials Database).

Cell lengths 6.514, 6.514, 6.514 Å; angles 90.00, 90.00, 90.00 degrees
Space group F-43m (No. 216)
Symmetry-distinct sites (fractional):
Cu: 0.000 0.000 0.000 x4
Pd: 0.000 0.000 0.500 x4
Pb: 0.250 0.250 0.750 x4
W: 0.250 0.250 0.250 x4

Calculated values
Polymorph energy (0 for the lowest one) (eV per formula unit): 0.170
Total moment (μB per formula unit): 1.9

# 2
# CuPdPbW

Crystalline CuPdPbW at its relaxed geometry (PBE, the Open Quantum Materials Database).

Cell lengths 6.524, 6.524, 6.524 Å; angles 90.00, 90.00, 90.00 degrees
Space group F-43m (No. 216)
Symmetry-distinct sites (fractional):
Cu: 0.000 0.000 0.000 x4
Pd: 0.250 0.250 0.250 x4
Pb: 0.250 0.250 0.750 x4
W: 0.000 0.000 0.500 x4

Calculated values
Polymorph energy (0 for the lowest one) (eV per formula unit): 0.000
Total moment (μB per formula unit): 1.5

# 3
# ZnCuPdPb

Crystalline ZnCuPdPb at its relaxed geometry (PBE, the Open Quantum Materials Database).

Cell lengths 6.506, 6.506, 6.506 Å; angles 90.00, 90.00, 90.00 degrees
Space group F-43m (No. 216)
Symmetry-distinct sites (fractional):
Zn: 0.000 0.000 0.000 x4
Cu: 0.250 0.250 0.750 x4
Pd: 0.250 0.250 0.250 x4
Pb: 0.000 0.000 0.500 x4

Calculated values
Polymorph energy (0 for the lowest one) (eV per formula unit): 0.000

# 4
# ZnCuPdPb

Crystalline ZnCuPdPb at its relaxed geometry (PBE, the Open Quantum Materials Database).

Cell lengths 6.530, 6.530, 6.530 Å; angles 90.00, 90.00, 90.00 degrees
Space group F-43m (No. 216)
Symmetry-distinct sites (fractional):
Zn: 0.000 0.000 0.000 x4
Cu: 0.000 0.000 0.500 x4
Pd: 0.250 0.250 0.750 x4
Pb: 0.250 0.250 0.250 x4

Calculated values
Polymorph energy (0 for the lowest one) (eV per formula unit): 0.140